Entry 1:
DFT (meta-GGA SCAN) results for a PBEsol-optimized structure of MnP2O7.

```
MnP2O7
1.0
7.894 0.000 0.000
0.000 7.894 0.000
0.000 0.000 7.894
O Mn P
28 4 8
Direct
0.201 0.107 0.942 O
0.393 0.442 0.201 O
0.607 0.942 0.299 O
0.299 0.607 0.942 O
0.442 0.201 0.393 O
0.701 0.393 0.058 O
0.000 0.500 0.000 O
0.558 0.701 0.107 O
0.893 0.058 0.799 O
0.500 0.000 0.000 O
0.701 0.107 0.558 O
0.607 0.558 0.799 O
0.558 0.799 0.607 O
0.058 0.799 0.893 O
0.299 0.893 0.442 O
0.201 0.393 0.442 O
0.107 0.558 0.701 O
0.442 0.299 0.893 O
0.942 0.201 0.107 O
0.942 0.299 0.607 O
0.893 0.442 0.299 O
0.799 0.607 0.558 O
0.107 0.942 0.201 O
0.393 0.058 0.701 O
0.500 0.500 0.500 O
0.000 0.000 0.500 O
0.799 0.893 0.058 O
0.058 0.701 0.393 O
0.500 0.000 0.500 Mn
0.000 0.500 0.500 Mn
0.500 0.500 0.000 Mn
0.000 0.000 0.000 Mn
0.883 0.117 0.617 P
0.117 0.883 0.383 P
0.383 0.117 0.883 P
0.883 0.383 0.117 P
0.383 0.383 0.383 P
0.617 0.883 0.117 P
0.617 0.617 0.617 P
0.117 0.617 0.883 P
```

- raw total energy (eV/atom) = -10.52
- energy relative to the elements, uncorrected (eV per atom) = -2.253
- energy relative to the lowest polymorph listed for this composition (kJ/mol of atoms) = 5.4
- N(E_F) (states/eV/atom) = 0.000
- crystal system = cubic

Entry 2:
DFT (meta-GGA SCAN) results for a PBEsol-optimized structure of LaAs2Os.

```
LaAs2Os
1.0
4.118 0.000 0.000
0.000 4.469 -0.022
0.000 -1.040 4.619
As Os La
2 1 1
Direct
0.000 0.359 0.230 As
0.000 0.641 0.770 As
0.500 0.500 0.000 Os
0.500 0.000 0.500 La
```

- raw total energy (eV/atom) = -39.49
- energy relative to the lowest polymorph listed for this composition (kJ/mol of atoms) = 0.0
- N(E_F) (states/eV/atom) = 0.624
- crystal system = monoclinic

Entry 3:
DFT (meta-GGA SCAN) results for a PBEsol-optimized structure of FeGeNF2.

```
FeGeNF2
1.0
-1.601 2.852 2.181
1.243 -1.801 3.266
3.229 1.936 -0.161
Ge F Fe N
1 2 1 1
Direct
0.500 0.500 0.500 Ge
0.500 0.000 0.000 F
0.000 0.500 0.000 F
0.000 0.000 0.000 Fe
0.000 0.000 0.500 N
```

- raw total energy (eV/atom) = -11.43
- energy relative to the elements, uncorrected (eV per atom) = -0.709
- N(E_F) (states/eV/atom) = 0.365
- crystal system = tetragonal

Entry 4:
DFT (meta-GGA SCAN) results for a PBEsol-optimized structure of BeSb2Rh.

```
BeSb2Rh
1.0
3.098 0.000 0.000
0.000 3.098 0.000
0.000 0.000 7.696
Rh Sb Be
1 2 1
Direct
0.500 0.500 0.686 Rh
0.500 0.500 0.330 Sb
0.000 0.000 0.918 Sb
0.000 0.000 0.566 Be
```

- raw total energy (eV/atom) = -28.36
- energy relative to the elements, uncorrected (eV per atom) = -0.197
- N(E_F) (states/eV/atom) = 0.656
- crystal system = tetragonal